# PaAlTl2Se5, relaxed, DFT PBE-GGA
data_PaAlTl2Se5
_cell_length_a 9.683
_cell_length_b 9.683
_cell_length_c 14.454
_cell_angle_alpha 90.00
_cell_angle_beta 90.00
_cell_angle_gamma 155.31
_symmetry_space_group_name_H-M 'P 1'
_symmetry_Int_Tables_number 1
_symmetry_space_group_name_Hall 'P 1'
loop_
_atom_site_label
_atom_site_type_symbol
_atom_site_fract_x
_atom_site_fract_y
_atom_site_fract_z
Pa1 Pa 0.208 0.792 0.500
Pa2 Pa 0.792 0.208 0.000
Al1 Al 0.434 0.566 0.892
Al2 Al 0.566 0.434 0.392
Tl1 Tl 0.112 0.888 0.147
Tl2 Tl 0.117 0.883 0.803
Tl3 Tl 0.883 0.117 0.303
Tl4 Tl 0.888 0.112 0.647
Se1 Se 0.053 0.947 0.491
Se2 Se 0.295 0.705 0.127
Se3 Se 0.305 0.695 0.863
Se4 Se 0.346 0.654 0.480
Se5 Se 0.496 0.504 0.755
Se6 Se 0.504 0.496 0.255
Se7 Se 0.654 0.346 0.980
Se8 Se 0.695 0.305 0.363
Se9 Se 0.705 0.295 0.627
Se10 Se 0.947 0.053 0.991
# total energy	-86.917	eV for the cell shown
# uncorrected formation energy	-0.90	eV per atom